First-principles (PBE) data for a relaxed structure of V6FeSn, as listed in Alexandria via LeMat-Bulk.

abc: 5.388 5.388 5.388
angles: 110.81 110.81 110.81
Site moments in Bohr magnetons follow the coordinates.
Fractional coordinates of all 8 atoms:
V1 0.254 0.254 0.734  -0.04
V2 0.746 0.746 0.266  -0.04
V3 0.254 0.734 0.254  -0.04
Fe1 0.500 0.500 0.500  0.67
Sn1 0.000 0.000 0.000  0.00
V4 0.734 0.254 0.254  -0.04
V5 0.266 0.746 0.746  -0.04
V6 0.746 0.266 0.746  -0.04

Output
For the energy, the calculation gives -65.424 eV per cell. Its formation enthalpy at 0 K is 219 meV per atom.